The following is a DFT calculation (PBE) of a relaxed structure of Zn6NiRh5.

Cell lengths 4.245, 6.040, 7.368 Å; angles 114.19, 106.74, 90.00 degrees
Fractional positions:
Ni  0.000  0.000  0.000
Zn  0.835  0.587  0.670
Zn  0.835  0.083  0.670
Zn  0.500  0.754  0.000
Zn  0.500  0.246  0.000
Zn  0.165  0.917  0.330
Zn  0.165  0.413  0.330
Rh  0.665  0.165  0.330
Rh  0.334  0.334  0.667
Rh  0.000  0.500  0.000
Rh  0.666  0.666  0.333
Rh  0.335  0.835  0.670

Properties
- ΔE_f: -0.366 eV per atom
- M_tot: 0.00 μB per atom